VASP calculation (PBE) on crystalline Cs2LiMnH6 at its relaxed geometry.

Computed properties:
DFT total energy, Ry per atom: -0.2575
N(E_F), states/eV/f.u.: 2.54
Total magnetic moment, μB/f.u.: 2.00

abc: 6.189 6.189 4.932
angles: 90.00 90.00 120.00
Element x y z (fractional)
Cs  0.333  0.667  0.237
Cs  0.667  0.333  0.763
Li  0.000  0.000  0.000
Mn  0.000  0.000  0.500
H  0.125  0.251  0.704
H  0.125  0.875  0.704
H  0.251  0.125  0.296
H  0.749  0.875  0.704
H  0.875  0.125  0.296
H  0.875  0.749  0.296